Entry 1:
The following is a GGA-PBE calculation of crystalline BaFeCoTe3 at its relaxed geometry, from OQMD.

Lattice parameters (Å, degrees): 7.726 7.726 10.203 90.00 90.00 148.67
Atoms (fractional coordinates):
Ba (0.237, 0.763, 0.750)
Ba (0.763, 0.237, 0.250)
Fe (0.467, 0.533, 0.250)
Fe (0.533, 0.467, 0.750)
Co (0.000, 0.000, 0.000)
Co (0.000, 0.000, 0.500)
Te (0.066, 0.934, 0.250)
Te (0.382, 0.618, 0.034)
Te (0.382, 0.618, 0.466)
Te (0.618, 0.382, 0.534)
Te (0.618, 0.382, 0.966)
Te (0.934, 0.066, 0.750)

Summary:
Space-group type: Cmcm, No. 63
E_tot in eV per atom: -4.848
M_tot in μB per cell: 9.16


Entry 2:
The following is a GGA-PBE calculation of crystalline BaGdCo at its relaxed geometry, from OQMD.

Lattice parameters (Å, degrees): 4.981 4.981 4.981 60.00 60.00 60.00
Atoms (fractional coordinates):
Ba (0.000, 0.000, 0.000)
Gd (0.500, 0.500, 0.500)
Co (0.250, 0.250, 0.250)

Summary:
Space-group type: F-43m, No. 216
E_tot in eV per atom: -4.168
M_tot in μB per cell: 0.00